Version a
The following is a DFT calculation (PBE) of a relaxed Nd4Dy2Mg crystal.

Calculated values
The calculation puts the density of states at the Fermi level at 7.43 states/eV/f.u. The calculation puts the volume at 240.7 Å³/cell. The space group is No. 10.

a b c (Å): 5.9969 3.6868 11.0503
angles (deg): 90.00 99.83 90.00
Closest atoms and distances in Å follow each position.
Positions (direct):
Nd (0.0461, 0.0000, 0.2053)  6 Nd 3.54-3.69, 2 Mg 3.65-3.83, 3 Dy 3.79-3.87
Nd (0.4369, 0.5000, 0.7502)  2 Mg 3.29, 3 Dy 3.40-3.47, 4 Nd 3.54-3.57
Nd (0.5631, 0.5000, 0.2498)  2 Mg 3.29, 3 Dy 3.40-3.47, 4 Nd 3.54-3.57
Nd (0.9539, 0.0000, 0.7947)  6 Nd 3.54-3.69, 2 Mg 3.65-3.83, 3 Dy 3.79-3.87
Dy (0.0000, 0.5000, 0.5000)  6 Nd 3.47-3.79, 6 Dy 3.52-3.69
Dy (0.5000, 0.0000, 0.5000)  4 Nd 3.40, 6 Dy 3.52-3.69
Mg (0.5000, 0.0000, 0.0000)  6 Nd 3.29-3.65

=====

Version b
The following is a DFT calculation (PBE) of a relaxed Nd4Dy2Mg crystal.

Calculated values
The calculation puts the density of states at the Fermi level at 12.65 states/eV/f.u. The calculation puts the volume at 228.0 Å³/cell. The space group is No. 166.

a b c (Å): 8.7856 8.7856 8.7856
angles (deg): 37.75 37.75 37.75
Closest atoms and distances in Å follow each position.
Positions (direct):
Nd (0.0679, 0.0679, 0.0679)  5 Nd 3.32-3.54, 3 Dy 3.45
Nd (0.2108, 0.2108, 0.2108)  3 Mg 3.45, 4 Nd 3.49-3.54, 1 Dy 3.58
Nd (0.7892, 0.7892, 0.7892)  3 Mg 3.45, 4 Nd 3.49-3.54, 1 Dy 3.58
Nd (0.9321, 0.9321, 0.9321)  5 Nd 3.32-3.54, 3 Dy 3.45
Dy (0.3571, 0.3571, 0.3571)  4 Nd 3.45-3.58, 3 Dy 3.48, 1 Mg 3.49
Dy (0.6429, 0.6429, 0.6429)  4 Nd 3.45-3.58, 3 Dy 3.48, 1 Mg 3.49
Mg (0.5000, 0.5000, 0.5000)  6 Nd 3.45, 2 Dy 3.49

=====

Relative energies in eV/atom: version a 0.038; version b 0.000

=====

Version a
The following is a DFT calculation (PBE) of a relaxed NdDy6Mg crystal.

Calculated values
The calculation puts the density of states at the Fermi level at 12.20 states/eV/f.u. The calculation puts the volume at 247.5 Å³/cell. The space group is No. 12.

a b c (Å): 6.1120 6.1120 9.8861
angles (deg): 113.86 113.86 48.40
Closest atoms and distances in Å follow each position.
Positions (direct):
Nd (0.0000, 0.0000, 0.0000)  12 Dy 3.51-3.54
Dy (0.2452, 0.2452, 0.3775)  3 Mg 3.45-3.57, 8 Dy 3.45-3.54, 1 Nd 3.51
Dy (0.2493, 0.2493, 0.8708)  1 Mg 3.48, 8 Dy 3.51-3.57, 3 Nd 3.54
Dy (0.4972, 0.4972, 0.2518)  2 Mg 3.50, 8 Dy 3.51-3.55, 2 Nd 3.54
Dy (0.5028, 0.5028, 0.7482)  2 Mg 3.50, 8 Dy 3.51-3.55, 2 Nd 3.54
Dy (0.7507, 0.7507, 0.1292)  1 Mg 3.48, 8 Dy 3.51-3.57, 3 Nd 3.54
Dy (0.7548, 0.7548, 0.6225)  3 Mg 3.45-3.57, 8 Dy 3.45-3.54, 1 Nd 3.51
Mg (0.0000, 0.0000, 0.5000)  12 Dy 3.45-3.57

=====

Version b
The following is a DFT calculation (PBE) of a relaxed NdDy6Mg crystal.

Calculated values
The calculation puts the density of states at the Fermi level at 11.51 states/eV/f.u. The calculation puts the volume at 253.7 Å³/cell. The space group is No. 12.

a b c (Å): 6.5815 6.5815 6.4786
angles (deg): 95.47 95.47 113.36
Closest atoms and distances in Å follow each position.
Positions (direct):
Nd (0.0000, 0.0000, 0.0000)  2 Mg 3.24, 4 Dy 3.62
Dy (0.0853, 0.5424, 0.2691)  4 Dy 3.23-3.48, 1 Mg 3.50
Dy (0.4074, 0.4074, 0.7388)  1 Mg 3.08, 5 Dy 3.23-3.42
Dy (0.4576, 0.9147, 0.7309)  4 Dy 3.23-3.48, 1 Mg 3.50
Dy (0.5424, 0.0853, 0.2691)  4 Dy 3.23-3.48, 1 Mg 3.50
Dy (0.5926, 0.5926, 0.2612)  1 Mg 3.08, 5 Dy 3.23-3.42
Dy (0.9147, 0.4576, 0.7309)  4 Dy 3.23-3.48, 1 Mg 3.50
Mg (0.0000, 0.0000, 0.5000)  2 Dy 3.08, 2 Nd 3.24

=====

Relative energies in eV/atom: version a 0.000; version b 0.139

=====

Version a
The following is a DFT calculation (PBE) of a relaxed Nd4DyMg crystal.

Calculated values
The calculation puts the density of states at the Fermi level at 8.67 states/eV/f.u. The calculation puts the volume at 395.6 Å³/cell. The space group is No. 15.

a b c (Å): 8.5554 8.5554 6.5840
angles (deg): 109.13 109.13 104.08
Closest atoms and distances in Å follow each position.
Positions (direct):
Nd (0.0262, 0.6333, 0.2748)  2 Dy 3.38-3.45, 6 Nd 3.40-3.77, 2 Mg 3.40-3.62
Nd (0.0990, 0.2303, 0.2316)  1 Mg 3.49, 1 Dy 3.53, 9 Nd 3.54-3.80
Nd (0.2303, 0.0990, 0.7316)  1 Mg 3.49, 1 Dy 3.53, 9 Nd 3.54-3.80
Nd (0.3667, 0.9738, 0.2252)  2 Dy 3.38-3.45, 6 Nd 3.40-3.77, 2 Mg 3.40-3.62
Nd (0.6333, 0.0262, 0.7748)  2 Dy 3.38-3.45, 6 Nd 3.40-3.77, 2 Mg 3.40-3.62
Nd (0.7697, 0.9010, 0.2684)  1 Mg 3.49, 1 Dy 3.53, 9 Nd 3.54-3.80
Nd (0.9010, 0.7697, 0.7684)  1 Mg 3.49, 1 Dy 3.53, 9 Nd 3.54-3.80
Nd (0.9738, 0.3667, 0.7252)  2 Dy 3.38-3.45, 6 Nd 3.40-3.77, 2 Mg 3.40-3.62
Dy (0.3525, 0.6475, 0.7500)  3 Mg 3.25-3.37, 6 Nd 3.38-3.53
Dy (0.6475, 0.3525, 0.2500)  3 Mg 3.25-3.37, 6 Nd 3.38-3.53
Mg (0.4063, 0.5937, 0.2500)  3 Dy 3.25-3.37, 6 Nd 3.40-3.62
Mg (0.5937, 0.4063, 0.7500)  3 Dy 3.25-3.37, 6 Nd 3.40-3.62

=====

Version b
The following is a DFT calculation (PBE) of a relaxed Nd4DyMg crystal.

Calculated values
The calculation puts the density of states at the Fermi level at 7.15 states/eV/f.u. The calculation puts the volume at 196.6 Å³/cell. The space group is No. 123.

a b c (Å): 3.6812 3.6812 14.5064
angles (deg): 90.00 90.00 90.00
Closest atoms and distances in Å follow each position.
Positions (direct):
Nd (0.0000, 0.0000, 0.1514)  4 Mg 3.41, 8 Nd 3.64-3.68
Nd (0.0000, 0.0000, 0.8486)  4 Mg 3.41, 8 Nd 3.64-3.68
Nd (0.5000, 0.5000, 0.3269)  4 Dy 3.62, 8 Nd 3.64-3.68
Nd (0.5000, 0.5000, 0.6731)  4 Dy 3.62, 8 Nd 3.64-3.68
Dy (0.0000, 0.0000, 0.5000)  8 Nd 3.62, 4 Dy 3.68
Mg (0.5000, 0.5000, 0.0000)  8 Nd 3.41, 4 Mg 3.68

=====

Relative energies in eV/atom: version a 0.081; version b 0.000

=====

Version a
The following is a DFT calculation (PBE) of a relaxed Nd8DyMg2 crystal.

Calculated values
The calculation puts the density of states at the Fermi level at 16.18 states/eV/f.u. The calculation puts the volume at 362.2 Å³/cell. The space group is No. 12.

a b c (Å): 9.3245 9.3245 8.2445
angles (deg): 107.89 107.89 32.23
Closest atoms and distances in Å follow each position.
Positions (direct):
Nd (0.0498, 0.0498, 0.2344)  1 Mg 3.53, 9 Nd 3.56-3.70, 2 Dy 3.68
Nd (0.1406, 0.1406, 0.6967)  3 Mg 3.43-3.49, 7 Nd 3.61-3.64, 2 Dy 3.61
Nd (0.3159, 0.3159, 0.5644)  1 Mg 3.40, 8 Nd 3.43-3.73, 1 Dy 3.51
Nd (0.4055, 0.4055, 0.0402)  3 Mg 3.50-3.52, 1 Dy 3.62, 8 Nd 3.64-3.73
Nd (0.5945, 0.5945, 0.9598)  3 Mg 3.50-3.52, 1 Dy 3.62, 8 Nd 3.64-3.73
Nd (0.6841, 0.6841, 0.4356)  1 Mg 3.40, 8 Nd 3.43-3.73, 1 Dy 3.51
Nd (0.8594, 0.8594, 0.3033)  3 Mg 3.43-3.49, 7 Nd 3.61-3.64, 2 Dy 3.61
Nd (0.9502, 0.9502, 0.7656)  1 Mg 3.53, 9 Nd 3.56-3.70, 2 Dy 3.68
Dy (0.5000, 0.5000, 0.5000)  12 Nd 3.51-3.68
Mg (0.2271, 0.2271, 0.1334)  8 Nd 3.40-3.53, 2 Mg 3.65
Mg (0.7729, 0.7729, 0.8666)  8 Nd 3.40-3.53, 2 Mg 3.65

=====

Version b
The following is a DFT calculation (PBE) of a relaxed Nd8DyMg2 crystal.

Calculated values
The calculation puts the density of states at the Fermi level at 13.63 states/eV/f.u. The calculation puts the volume at 372.2 Å³/cell. The space group is No. 12.

a b c (Å): 9.1469 9.1469 5.8486
angles (deg): 103.11 103.11 121.02
Closest atoms and distances in Å follow each position.
Positions (direct):
Nd (0.0969, 0.3237, 0.6386)  2 Mg 3.32-3.51, 5 Nd 3.36-3.66
Nd (0.2102, 0.7898, 0.0000)  2 Mg 3.30, 1 Dy 3.35, 2 Nd 3.66
Nd (0.3237, 0.0969, 0.6386)  2 Mg 3.32-3.51, 5 Nd 3.36-3.66
Nd (0.4096, 0.4096, 0.2056)  1 Nd 3.06, 1 Dy 3.31
Nd (0.5904, 0.5904, 0.7944)  1 Nd 3.06, 1 Dy 3.31
Nd (0.6763, 0.9031, 0.3614)  2 Mg 3.32-3.51, 5 Nd 3.36-3.66
Nd (0.7898, 0.2102, 0.0000)  2 Mg 3.30, 1 Dy 3.35, 2 Nd 3.66
Nd (0.9031, 0.6763, 0.3614)  2 Mg 3.32-3.51, 5 Nd 3.36-3.66
Dy (0.0000, 0.0000, 0.0000)  4 Nd 3.31-3.35
Mg (0.3067, 0.6933, 0.5000)  8 Nd 3.30-3.51
Mg (0.6933, 0.3067, 0.5000)  8 Nd 3.30-3.51

=====

Relative energies in eV/atom: version a 0.000; version b 0.102

=====

Version a
The following is a DFT calculation (PBE) of a relaxed Nd2Dy2Mg crystal.

Calculated values
The calculation puts the density of states at the Fermi level at 6.98 states/eV/f.u. The calculation puts the volume at 172.4 Å³/cell. The space group is No. 139.

a b c (Å): 9.3595 9.3595 9.3595
angles (deg): 152.68 152.68 39.02
Closest atoms and distances in Å follow each position.
Positions (direct):
Nd (0.0924, 0.0924, 0.0000)  1 Nd 3.26, 4 Mg 3.53, 4 Dy 3.55
Nd (0.9076, 0.9076, 0.0000)  1 Nd 3.26, 4 Mg 3.53, 4 Dy 3.55
Dy (0.2500, 0.7500, 0.5000)  4 Dy 3.13
Dy (0.7500, 0.2500, 0.5000)  4 Dy 3.13
Mg (0.5000, 0.5000, 0.0000)  8 Nd 3.53

=====

Version b
The following is a DFT calculation (PBE) of a relaxed Nd2Dy2Mg crystal.

Calculated values
The calculation puts the density of states at the Fermi level at 6.30 states/eV/f.u. The calculation puts the volume at 157.6 Å³/cell. The space group is No. 139.

a b c (Å): 12.1990 12.1990 12.1990
angles (deg): 162.86 162.86 24.33
Closest atoms and distances in Å follow each position.
Positions (direct):
Nd (0.0940, 0.0940, 0.0000)  4 Mg 3.41, 4 Dy 3.58, 4 Nd 3.64
Nd (0.9060, 0.9060, 0.0000)  4 Mg 3.41, 4 Dy 3.58, 4 Nd 3.64
Dy (0.3015, 0.3015, 0.0000)  8 Dy 3.55-3.64, 4 Nd 3.58
Dy (0.6985, 0.6985, 0.0000)  8 Dy 3.55-3.64, 4 Nd 3.58
Mg (0.5000, 0.5000, 0.0000)  8 Nd 3.41, 4 Mg 3.64

=====

Relative energies in eV/atom: version a 0.374; version b 0.000

=====

Version a
The following is a DFT calculation (PBE) of a relaxed Nd12Dy7Mg crystal.

Calculated values
The calculation puts the density of states at the Fermi level at 30.86 states/eV/f.u. The calculation puts the volume at 669.8 Å³/cell. The space group is No. 148.

a b c (Å): 9.3626 9.3626 9.3626
angles (deg): 107.71 107.71 107.71
Closest atoms and distances in Å follow each position.
Positions (direct):
Nd (0.0781, 0.8032, 0.2809)  1 Dy 3.21, 2 Nd 3.42-3.45
Nd (0.1274, 0.2082, 0.4372)  4 Dy 3.28-3.61, 2 Nd 3.42-3.45, 1 Mg 3.46
Nd (0.1968, 0.7191, 0.9219)  1 Dy 3.21, 2 Nd 3.42-3.45
Nd (0.2082, 0.4372, 0.1274)  4 Dy 3.28-3.61, 2 Nd 3.42-3.45, 1 Mg 3.46
Nd (0.2809, 0.0781, 0.8032)  1 Dy 3.21, 2 Nd 3.42-3.45
Nd (0.4372, 0.1274, 0.2082)  4 Dy 3.28-3.61, 2 Nd 3.42-3.45, 1 Mg 3.46
Nd (0.5628, 0.8726, 0.7918)  4 Dy 3.28-3.61, 2 Nd 3.42-3.45, 1 Mg 3.46
Nd (0.7191, 0.9219, 0.1968)  1 Dy 3.21, 2 Nd 3.42-3.45
Nd (0.7918, 0.5628, 0.8726)  4 Dy 3.28-3.61, 2 Nd 3.42-3.45, 1 Mg 3.46
Nd (0.8032, 0.2809, 0.0781)  1 Dy 3.21, 2 Nd 3.42-3.45
Nd (0.8726, 0.7918, 0.5628)  4 Dy 3.28-3.61, 2 Nd 3.42-3.45, 1 Mg 3.46
Nd (0.9219, 0.1968, 0.7191)  1 Dy 3.21, 2 Nd 3.42-3.45
Dy (0.0000, 0.0000, 0.0000)  12 Nd 3.57-3.67
Dy (0.1788, 0.6224, 0.5096)  3 Nd 3.21-3.58, 1 Dy 3.35, 1 Mg 3.54
Dy (0.3776, 0.4904, 0.8212)  3 Nd 3.21-3.58, 1 Dy 3.35, 1 Mg 3.54
Dy (0.4904, 0.8212, 0.3776)  3 Nd 3.21-3.58, 1 Dy 3.35, 1 Mg 3.54
Dy (0.5096, 0.1788, 0.6224)  3 Nd 3.21-3.58, 1 Dy 3.35, 1 Mg 3.54
Dy (0.6224, 0.5096, 0.1788)  3 Nd 3.21-3.58, 1 Dy 3.35, 1 Mg 3.54
Dy (0.8212, 0.3776, 0.4904)  3 Nd 3.21-3.58, 1 Dy 3.35, 1 Mg 3.54
Mg (0.5000, 0.5000, 0.5000)  6 Nd 3.46, 6 Dy 3.54

=====

Version b
The following is a DFT calculation (PBE) of a relaxed Nd12Dy7Mg crystal.

Calculated values
The calculation puts the density of states at the Fermi level at 26.74 states/eV/f.u. The calculation puts the volume at 778.5 Å³/cell. The space group is No. 204.

a b c (Å): 10.0376 10.0376 10.0376
angles (deg): 109.47 109.47 109.47
Closest atoms and distances in Å follow each position.
Positions (direct):
Nd (0.0017, 0.7531, 0.2486)  2 Dy 2.90
Nd (0.2469, 0.2486, 0.4955)  2 Dy 2.90
Nd (0.2469, 0.7514, 0.9983)  2 Dy 2.90
Nd (0.2486, 0.0017, 0.7531)  2 Dy 2.90
Nd (0.2486, 0.4955, 0.2469)  2 Dy 2.90
Nd (0.4955, 0.2469, 0.2486)  2 Dy 2.90
Nd (0.5045, 0.7531, 0.7514)  2 Dy 2.90
Nd (0.7514, 0.5045, 0.7531)  2 Dy 2.90
Nd (0.7514, 0.9983, 0.2469)  2 Dy 2.90
Nd (0.7531, 0.2486, 0.0017)  2 Dy 2.90
Nd (0.7531, 0.7514, 0.5045)  2 Dy 2.90
Nd (0.9983, 0.2469, 0.7514)  2 Dy 2.90
Dy (0.0000, 0.0000, 0.5000)  6 Nd 2.90
Dy (0.0000, 0.5000, 0.0000)  6 Nd 2.90
Dy (0.0000, 0.5000, 0.5000)  12 Nd 4.08-4.13
Dy (0.5000, 0.0000, 0.0000)  6 Nd 2.90
Dy (0.5000, 0.0000, 0.5000)  12 Nd 4.08-4.13
Dy (0.5000, 0.5000, 0.0000)  12 Nd 4.08-4.13
Dy (0.5000, 0.5000, 0.5000)  6 Nd 2.90
Mg (0.0000, 0.0000, 0.0000)  12 Nd 4.06

=====

Relative energies in eV/atom: version a 0.000; version b 0.536